Entry from Alexandria: a relaxed structure of Ho5Tl8Cd (PBE).

It has space group I-4 (No. 82), with a = 9.3368 Å, b = 9.3368 Å, c = 9.0344 Å, α = 90.00°, β = 90.00° and γ = 90.00°. The inequivalent atoms are Ho at (0.0000, 0.0000, 0.0000), Ho at (0.1161, 0.7197, 0.6409), Tl at (0.0654, 0.8333, 0.3075), Tl at (0.0978, 0.6787, 0.9814) and Cd at (0.0000, 0.5000, 0.2500).

The formation energy from the elements is -146 meV/atom. Its total DFT energy (no corrections) is -0.118 hartree per atom.

Entry from Alexandria: a relaxed structure of LaBiSbH2 (PBE).

It has space group P4/mmm (No. 123), with a = 4.4799 Å, b = 4.4799 Å, c = 6.4499 Å, α = 90.00°, β = 90.00° and γ = 90.00°. The inequivalent atoms are La at (0.0000, 0.0000, 0.0000), Bi at (0.5000, 0.5000, 0.5000), Sb at (0.5000, 0.5000, 0.0000) and H at (0.0000, 0.5000, 0.5000).

Its total DFT energy (no corrections) is -0.144 hartree per atom.

Entry from Alexandria: a relaxed structure of CsK2SmI6 (PBE).

It has space group R3 (No. 146, hexagonal axes), with a = 8.8834 Å, b = 8.8834 Å, c = 23.5979 Å, α = 90.00°, β = 90.00° and γ = 120.00°. The inequivalent atoms are Cs at (0.0000, 0.0000, 0.0000), K at (0.0000, 0.0000, 0.2873), K at (0.0000, 0.0000, 0.8026), Sm at (0.0000, 0.0000, 0.4850), I at (0.0190, 0.3040, 0.5562) and I at (0.0235, 0.7385, 0.4022).

Its raw formation energy is -1.468 eV/atom. Its total DFT energy (no corrections) is -0.117 hartree per atom.

Entry from Alexandria: a relaxed structure of BiI2Br (PBE).

It has space group Fm-3m (No. 225), with a = 7.9175 Å, b = 7.9175 Å, c = 7.9175 Å, α = 90.00°, β = 90.00° and γ = 90.00°. The inequivalent atoms are Bi at (0.0000, 0.0000, 0.0000), I at (0.2500, 0.2500, 0.2500) and Br at (0.0000, 0.0000, 0.5000).

Its distance to the lowest polymorph of the same formula is 465 meV per atom. Its raw formation energy is -0.041 eV/atom. Its total DFT energy (no corrections) is -0.081 hartree per atom.

Q: The highest total DFT energy (no corrections) belongs to which entry?
A: BiI2Br

Q: Which of these has the highest total DFT energy (no corrections)?
A: BiI2Br

Q: total DFT energy (no corrections) of number 1 (Ho5Tl8Cd)?
A: -0.118 hartree per atom

Q: Which formula does entry 4 have?
A: BiI2Br